[1]
VASP calculation (GGA-PBEsol) on crystalline CaBe2Tc at its relaxed geometry.

Energy of formation: 0.52 eV per atom
D(E_F): 0.95 states/eV per atom
Calculated total energy: -4.825 eV per atom
Energy relative to the lowest polymorph listed for this composition: 167.7 meV per atom

The structure in CIF format:
```
data_CaBe2Tc
_chemical_formula_sum 'Ca4 Be8 Tc4'
_symmetry_space_group_name_H-M 'F m -3 m'
_symmetry_Int_Tables_number 225
_symmetry_space_group_name_Hall '-F 4 2 3'
_cell_length_a 6.071
_cell_length_b 6.071
_cell_length_c 6.071
_cell_angle_alpha 90.00
_cell_angle_beta 90.00
_cell_angle_gamma 90.00
loop_
_atom_site_label
_atom_site_type_symbol
_atom_site_fract_x
_atom_site_fract_y
_atom_site_fract_z
_atom_site_occupancy
Ca1 Ca 0.000 0.000 0.000 1
Be1 Be 0.250 0.250 0.250 1
Tc1 Tc 0.000 0.000 0.500 1
```

---

[2]
VASP calculation (GGA-PBEsol) on crystalline CaBe2Tc at its relaxed geometry.

Energy of formation: 0.36 eV per atom
D(E_F): 0.51 states/eV per atom
Calculated total energy: -4.993 eV per atom
Energy relative to the lowest polymorph listed for this composition: 0.0 meV per atom

The structure in CIF format:
```
data_CaBe2Tc
_chemical_formula_sum 'Ca2 Be4 Tc2'
_symmetry_space_group_name_H-M 'C 1 2/m 1'
_symmetry_Int_Tables_number 12
_symmetry_space_group_name_Hall '-C 2y'
_cell_length_a 8.259
_cell_length_b 2.563
_cell_length_c 5.633
_cell_angle_alpha 90.00
_cell_angle_beta 95.37
_cell_angle_gamma 90.00
loop_
_atom_site_label
_atom_site_type_symbol
_atom_site_fract_x
_atom_site_fract_y
_atom_site_fract_z
_atom_site_occupancy
Ca1 Ca 0.000 0.000 0.000 1
Be1 Be 0.239 0.000 0.656 1
Tc1 Tc 0.000 0.500 0.500 1
```

---

[3]
VASP calculation (GGA-PBEsol) on crystalline CaBeTc at its relaxed geometry.

Energy of formation: 0.66 eV per atom
D(E_F): 0.97 states/eV per atom
Calculated total energy: -5.138 eV per atom

The structure in CIF format:
```
data_CaBeTc
_chemical_formula_sum 'Ca1 Be1 Tc1'
_symmetry_space_group_name_H-M 'P 3 m 1'
_symmetry_Int_Tables_number 156
_symmetry_space_group_name_Hall 'P 3 -2"'
_cell_length_a 3.8579
_cell_length_b 3.8579
_cell_length_c 4.1933
_cell_angle_alpha 90.00
_cell_angle_beta 90.00
_cell_angle_gamma 120.00
loop_
_atom_site_label
_atom_site_type_symbol
_atom_site_fract_x
_atom_site_fract_y
_atom_site_fract_z
_atom_site_occupancy
Ca1 Ca 0.0000 0.0000 0.0000 1
Be1 Be 0.6667 0.3333 0.4513 1
Tc1 Tc 0.3333 0.6667 0.5207 1
```

---

[4]
VASP calculation (GGA-PBEsol) on crystalline Ca2BeTc at its relaxed geometry.

Energy of formation: 0.76 eV per atom
D(E_F): 0.95 states/eV per atom
Calculated total energy: -4.126 eV per atom

The structure in CIF format:
```
data_Ca2BeTc
_chemical_formula_sum 'Ca2 Be1 Tc1'
_symmetry_space_group_name_H-M 'P m m m'
_symmetry_Int_Tables_number 47
_symmetry_space_group_name_Hall '-P 2 2'
_cell_length_a 2.880
_cell_length_b 3.558
_cell_length_c 7.728
_cell_angle_alpha 90.00
_cell_angle_beta 90.00
_cell_angle_gamma 90.00
loop_
_atom_site_label
_atom_site_type_symbol
_atom_site_fract_x
_atom_site_fract_y
_atom_site_fract_z
_atom_site_occupancy
Ca1 Ca 0.000 0.000 0.248 1
Be1 Be 0.500 0.500 0.000 1
Tc1 Tc 0.500 0.500 0.500 1
```

---

[5]
VASP calculation (GGA-PBEsol) on crystalline Ca2BeTc at its relaxed geometry.

Energy of formation: 0.73 eV per atom
D(E_F): 1.06 states/eV per atom
Calculated total energy: -4.156 eV per atom

The structure in CIF format:
```
data_Ca2BeTc
_chemical_formula_sum 'Ca4 Be2 Tc2'
_symmetry_space_group_name_H-M 'I -4 m 2'
_symmetry_Int_Tables_number 119
_symmetry_space_group_name_Hall 'I -4 -2'
_cell_length_a 4.323
_cell_length_b 4.323
_cell_length_c 8.059
_cell_angle_alpha 90.00
_cell_angle_beta 90.00
_cell_angle_gamma 90.00
loop_
_atom_site_label
_atom_site_type_symbol
_atom_site_fract_x
_atom_site_fract_y
_atom_site_fract_z
_atom_site_occupancy
Ca1 Ca 0.000 0.000 0.000 1
Ca2 Ca 0.000 0.500 0.250 1
Be1 Be 0.000 0.500 0.750 1
Tc1 Tc 0.000 0.000 0.500 1
```

---

[6]
VASP calculation (GGA-PBEsol) on crystalline Ca4BeTc at its relaxed geometry.

Energy of formation: 1.30 eV per atom
D(E_F): 1.92 states/eV per atom
Calculated total energy: -2.665 eV per atom

The structure in CIF format:
```
data_Ca4BeTc
_chemical_formula_sum 'Ca16 Be4 Tc4'
_symmetry_space_group_name_H-M 'F -4 3 m'
_symmetry_Int_Tables_number 216
_symmetry_space_group_name_Hall 'F -4 2 3'
_cell_length_a 8.504
_cell_length_b 8.504
_cell_length_c 8.504
_cell_angle_alpha 90.00
_cell_angle_beta 90.00
_cell_angle_gamma 90.00
loop_
_atom_site_label
_atom_site_type_symbol
_atom_site_fract_x
_atom_site_fract_y
_atom_site_fract_z
_atom_site_occupancy
Ca1 Ca 0.124 0.124 0.124 1
Be1 Be 0.000 0.000 0.500 1
Tc1 Tc 0.250 0.250 0.750 1
```

---

[7]
VASP calculation (GGA-PBEsol) on crystalline Ca2BeTe at its relaxed geometry.

Energy relative to the elements, uncorrected: -0.33 eV/atom
D(E_F): 0.73 states/eV per atom
Calculated total energy: -3.275 eV per atom
Energy relative to the lowest polymorph listed for this composition: 6.7 meV per atom

The structure in CIF format:
```
data_Ca2BeTe
_chemical_formula_sum 'Ca4 Be2 Te2'
_symmetry_space_group_name_H-M 'C 1 2/m 1'
_symmetry_Int_Tables_number 12
_symmetry_space_group_name_Hall '-C 2y'
_cell_length_a 7.464
_cell_length_b 4.286
_cell_length_c 7.620
_cell_angle_alpha 90.00
_cell_angle_beta 108.77
_cell_angle_gamma 90.00
loop_
_atom_site_label
_atom_site_type_symbol
_atom_site_fract_x
_atom_site_fract_y
_atom_site_fract_z
_atom_site_occupancy
Ca1 Ca 0.248 0.000 0.242 1
Be1 Be 0.000 0.500 0.000 1
Te1 Te 0.000 0.000 0.500 1
```

---

[8]
VASP calculation (GGA-PBEsol) on crystalline CaBeTe3 at its relaxed geometry.

Energy relative to the elements, uncorrected: 0.74 eV/atom
D(E_F): 1.58 states/eV per atom
Calculated total energy: -2.602 eV per atom

The structure in CIF format:
```
data_CaBeTe3
_chemical_formula_sum 'Ca1 Be1 Te3'
_symmetry_space_group_name_H-M 'P m -3 m'
_symmetry_Int_Tables_number 221
_symmetry_space_group_name_Hall '-P 4 2 3'
_cell_length_a 5.686
_cell_length_b 5.686
_cell_length_c 5.686
_cell_angle_alpha 90.00
_cell_angle_beta 90.00
_cell_angle_gamma 90.00
loop_
_atom_site_label
_atom_site_type_symbol
_atom_site_fract_x
_atom_site_fract_y
_atom_site_fract_z
_atom_site_occupancy
Ca1 Ca 0.000 0.000 0.000 1
Be1 Be 0.500 0.500 0.500 1
Te1 Te 0.000 0.000 0.500 1
```

---

[9]
VASP calculation (GGA-PBEsol) on crystalline CaBeTe at its relaxed geometry.

Energy relative to the elements, uncorrected: 0.06 eV/atom
Calculated total energy: -3.162 eV per atom

The structure in CIF format:
```
data_CaBeTe
_chemical_formula_sum 'Ca4 Be4 Te4'
_symmetry_space_group_name_H-M 'F -4 3 m'
_symmetry_Int_Tables_number 216
_symmetry_space_group_name_Hall 'F -4 2 3'
_cell_length_a 6.998
_cell_length_b 6.998
_cell_length_c 6.998
_cell_angle_alpha 90.00
_cell_angle_beta 90.00
_cell_angle_gamma 90.00
loop_
_atom_site_label
_atom_site_type_symbol
_atom_site_fract_x
_atom_site_fract_y
_atom_site_fract_z
_atom_site_occupancy
Ca1 Ca 0.000 0.000 0.000 1
Be1 Be 0.250 0.250 0.250 1
Te1 Te 0.250 0.250 0.750 1
```

---

[10]
VASP calculation (GGA-PBEsol) on crystalline Ca2BeTe at its relaxed geometry.

Energy relative to the elements, uncorrected: -0.18 eV/atom
D(E_F): 0.39 states/eV per atom
Calculated total energy: -3.126 eV per atom
Energy relative to the lowest polymorph listed for this composition: 155.2 meV per atom

The structure in CIF format:
```
data_Ca2BeTe
_chemical_formula_sum 'Ca8 Be4 Te4'
_symmetry_space_group_name_H-M 'I -4 2 d'
_symmetry_Int_Tables_number 122
_symmetry_space_group_name_Hall 'I -4 2bw'
_cell_length_a 7.961
_cell_length_b 7.961
_cell_length_c 7.146
_cell_angle_alpha 90.00
_cell_angle_beta 90.00
_cell_angle_gamma 90.00
loop_
_atom_site_label
_atom_site_type_symbol
_atom_site_fract_x
_atom_site_fract_y
_atom_site_fract_z
_atom_site_occupancy
Ca1 Ca 0.231 0.750 0.125 1
Be1 Be 0.000 0.000 0.000 1
Te1 Te 0.000 0.000 0.500 1
```